Computed, not measured: crystalline AcSn8Pt2 at its relaxed geometry at the GGA-PBE level of DFT.

Lattice parameters (Å, degrees): 6.4418 6.4418 8.4169 90.00 90.00 90.00
Closest atoms and distances in Å follow each position.
Atoms (fractional coordinates):
Ac: 0.0000 0.0000 0.0000  8 Sn 3.46
Sn: 0.2551 0.2551 0.3043  2 Pt 2.81
Sn: 0.2551 0.2551 0.6957  2 Pt 2.81
Sn: 0.2551 0.7449 0.3043  2 Pt 2.81
Sn: 0.2551 0.7449 0.6957  2 Pt 2.81
Sn: 0.7449 0.2551 0.3043  2 Pt 2.81
Sn: 0.7449 0.2551 0.6957  2 Pt 2.81
Sn: 0.7449 0.7449 0.3043  2 Pt 2.81
Sn: 0.7449 0.7449 0.6957  2 Pt 2.81
Pt: 0.0000 0.5000 0.5000  8 Sn 2.81
Pt: 0.5000 0.0000 0.5000  8 Sn 2.81

Values from the calculation:
E_form   -0.25 eV/atom
Total magnetic moment   0.00 μB/cell

Computed, not measured: crystalline Ac2SnPt4 at its relaxed geometry at the GGA-PBE level of DFT.

Lattice parameters (Å, degrees): 8.4987 8.4987 8.4987 145.77 145.77 49.18
Closest atoms and distances in Å follow each position.
Atoms (fractional coordinates):
Ac: 0.1402 0.1402 0.0000  1 Pt 2.89
Ac: 0.8598 0.8598 0.0000  1 Pt 2.89
Sn: 0.5000 0.5000 0.0000  6 Pt 2.50-2.68
Pt: 0.0000 0.5000 0.5000  2 Sn 2.50
Pt: 0.3268 0.3268 0.0000  1 Sn 2.68, 1 Ac 2.89
Pt: 0.5000 0.0000 0.5000  2 Sn 2.50
Pt: 0.6732 0.6732 0.0000  1 Sn 2.68, 1 Ac 2.89

Values from the calculation:
E_form   -0.57 eV/atom
Total magnetic moment   0.00 μB/cell

Computed, not measured: crystalline Ac2SnPt3 at its relaxed geometry at the GGA-PBE level of DFT.

Lattice parameters (Å, degrees): 9.1292 9.1292 9.1292 152.92 152.75 38.80
Closest atoms and distances in Å follow each position.
Atoms (fractional coordinates):
Ac: 0.0000 0.0000 0.0000  6 Pt 3.16-3.34
Ac: 0.7229 0.2229 0.5000  10 Pt 3.29-3.65, 2 Sn 3.65
Sn: 0.3938 0.3938 0.0000  3 Pt 2.63-2.71
Pt: 0.1494 0.6494 0.5000  3 Pt 2.68-2.74
Pt: 0.3052 0.8052 0.5000  2 Sn 2.63, 1 Pt 2.68
Pt: 0.5512 0.5512 0.0000  1 Sn 2.71, 2 Pt 2.74

Values from the calculation:
E_form   -1.00 eV/atom
E above lowest polymorph   0.00 eV per formula unit
Total magnetic moment   0.00 μB/cell

Computed, not measured: crystalline AcSn4Pt at its relaxed geometry at the GGA-PBE level of DFT.

Lattice parameters (Å, degrees): 6.9591 7.2350 7.7288 83.76 89.87 61.49
Closest atoms and distances in Å follow each position.
Atoms (fractional coordinates):
Ac: 0.1165 0.4930 0.2545  6 Sn 3.33-3.67
Ac: 0.8835 0.5070 0.7455  6 Sn 3.33-3.67
Sn: 0.1257 0.0175 0.1480  2 Pt 2.79-2.86, 1 Sn 2.99
Sn: 0.3195 0.6204 0.5908  1 Pt 2.60, 2 Sn 2.73-2.77
Sn: 0.3523 0.0280 0.6476  2 Pt 2.81-2.87, 2 Sn 3.00-3.14
Sn: 0.4268 0.3864 0.9115  1 Pt 2.60, 2 Sn 2.73-2.78
Sn: 0.5732 0.6136 0.0885  1 Pt 2.60, 2 Sn 2.73-2.78
Sn: 0.6477 0.9720 0.3524  2 Pt 2.81-2.87, 2 Sn 3.00-3.14
Sn: 0.6805 0.3796 0.4092  1 Pt 2.60, 2 Sn 2.73-2.77
Sn: 0.8743 0.9825 0.8520  2 Pt 2.79-2.86, 1 Sn 2.99
Pt: 0.0000 0.0000 0.5000  6 Sn 2.60-2.86
Pt: 0.5000 0.0000 0.0000  6 Sn 2.60-2.87

Values from the calculation:
E_form   -0.43 eV/atom
Total magnetic moment   0.00 μB/cell

Computed, not measured: crystalline Ac3Sn2Pt3 at its relaxed geometry at the GGA-PBE level of DFT.

Lattice parameters (Å, degrees): 6.4765 6.4765 15.4439 90.00 90.00 138.43
Closest atoms and distances in Å follow each position.
Atoms (fractional coordinates):
Ac: 0.0741 0.9259 0.6097  6 Pt 3.31-3.38, 4 Sn 3.43-3.56
Ac: 0.0741 0.9259 0.8903  6 Pt 3.31-3.38, 4 Sn 3.43-3.56
Ac: 0.3640 0.6360 0.7500  4 Pt 3.22-3.27, 4 Sn 3.55
Ac: 0.6360 0.3640 0.2500  4 Pt 3.22-3.27, 4 Sn 3.55
Ac: 0.9259 0.0741 0.1097  6 Pt 3.31-3.38, 4 Sn 3.43-3.56
Ac: 0.9259 0.0741 0.3903  6 Pt 3.31-3.38, 4 Sn 3.43-3.56
Sn: 0.2182 0.7818 0.0871  4 Pt 2.74-2.90
Sn: 0.2182 0.7818 0.4129  4 Pt 2.74-2.90
Sn: 0.7818 0.2182 0.5871  4 Pt 2.74-2.90
Sn: 0.7818 0.2182 0.9129  4 Pt 2.74-2.90
Pt: 0.3277 0.6723 0.2500  2 Sn 2.84
Pt: 0.3916 0.6084 0.5425  3 Sn 2.74-2.90, 1 Pt 2.93
Pt: 0.3916 0.6084 0.9575  3 Sn 2.74-2.90, 1 Pt 2.93
Pt: 0.6084 0.3916 0.0425  3 Sn 2.74-2.90, 1 Pt 2.93
Pt: 0.6084 0.3916 0.4575  3 Sn 2.74-2.90, 1 Pt 2.93
Pt: 0.6723 0.3277 0.7500  2 Sn 2.84

Values from the calculation:
E_form   -0.96 eV/atom
Total magnetic moment   0.00 μB/cell

Computed, not measured: crystalline Ac8Sn2Pt at its relaxed geometry at the GGA-PBE level of DFT.

Lattice parameters (Å, degrees): 10.3861 10.3861 9.3700 97.66 97.66 25.94
Closest atoms and distances in Å follow each position.
Atoms (fractional coordinates):
Ac: 0.0022 0.0022 0.2104  2 Pt 3.05
Ac: 0.2110 0.2110 0.3534  2 Sn 3.42, 2 Ac 3.78
Ac: 0.3459 0.3459 0.9875  1 Pt 3.11, 2 Sn 3.43
Ac: 0.4036 0.4036 0.4648  2 Sn 3.46, 3 Ac 3.85-3.87
Ac: 0.5964 0.5964 0.5352  2 Sn 3.46, 3 Ac 3.85-3.87
Ac: 0.6541 0.6541 0.0125  1 Pt 3.11, 2 Sn 3.43
Ac: 0.7890 0.7890 0.6466  2 Sn 3.42, 2 Ac 3.78
Ac: 0.9978 0.9978 0.7896  2 Pt 3.05
Sn: 0.1838 0.1838 0.7598  8 Ac 3.42-3.81
Sn: 0.8162 0.8162 0.2402  8 Ac 3.42-3.81
Pt: 0.5000 0.5000 0.0000  6 Ac 3.05-3.11

Values from the calculation:
E_form   -0.45 eV/atom
Total magnetic moment   0.00 μB/cell

In the order shown, the computed density values come out to 7.449, 11.621, 12.145, 8.777, 11.619, 8.525 g/cm3.